# 1
# K2CaCl2 (PBE-GGA, optimized geometry)
# - energy relative to the lowest polymorph listed for this composition (meV/atom) = 0
# - E_form (uncorrected) (meV/atom) = -1286
# - density of states at the Fermi level (states/eV per atom) = 0.000
data_K2CaCl2
_chemical_formula_sum 'K4 Ca2 Cl4'
_cell_length_a 8.110
_cell_length_b 8.110
_cell_length_c 5.164
_cell_angle_alpha 90.00
_cell_angle_beta 90.00
_cell_angle_gamma 90.00
_symmetry_space_group_name_H-M 'P 4/m b m'
_symmetry_Int_Tables_number 127
_symmetry_space_group_name_Hall '-P 4 2ab'
loop_
_atom_site_label
_atom_site_type_symbol
_atom_site_fract_x
_atom_site_fract_y
_atom_site_fract_z
_atom_site_occupancy
K1 K 0.160 0.340 0.000 1
Ca1 Ca 0.000 0.000 0.500 1
Cl1 Cl 0.175 0.675 0.500 1

=====

# 2
# LiAlGaAu (PBE-GGA, optimized geometry)
# - energy relative to the elements (eV per atom) = -0.3349
# - density of states at the Fermi level (states/eV per atom) = 0.239
data_LiAlGaAu
_chemical_formula_sum 'Li1 Al1 Ga1 Au1'
_cell_length_a 3.212
_cell_length_b 5.795
_cell_length_c 3.452
_cell_angle_alpha 90.00
_cell_angle_beta 91.24
_cell_angle_gamma 90.00
_symmetry_space_group_name_H-M 'P 1 2 1'
_symmetry_Int_Tables_number 3
loop_
_symmetry_equiv_pos_as_xyz
'x,y,z'
'-x,y,-z'
loop_
_atom_site_label
_atom_site_type_symbol
_atom_site_fract_x
_atom_site_fract_y
_atom_site_fract_z
_atom_site_occupancy
Li1 Li 0.000 0.000 0.000 1
Al1 Al 0.000 0.489 0.000 1
Ga1 Ga 0.500 0.765 0.500 1
Au1 Au 0.500 0.249 0.500 1

=====

# 3
# ScP2Cl (PBE-GGA, optimized geometry)
# - energy relative to the lowest polymorph listed for this composition (meV/atom) = 622
# - E_form (uncorrected) (meV/atom) = -309
# - density of states at the Fermi level (states/eV per atom) = 0.643
data_ScP2Cl
_chemical_formula_sum 'Sc2 P4 Cl2'
_cell_length_a 4.681
_cell_length_b 9.183
_cell_length_c 3.747
_cell_angle_alpha 90.00
_cell_angle_beta 90.00
_cell_angle_gamma 90.00
_symmetry_space_group_name_H-M 'C m m m'
_symmetry_Int_Tables_number 65
_symmetry_space_group_name_Hall '-C 2 2'
loop_
_atom_site_label
_atom_site_type_symbol
_atom_site_fract_x
_atom_site_fract_y
_atom_site_fract_z
_atom_site_occupancy
Sc1 Sc 0.000 0.000 0.000 1
P1 P 0.250 0.250 0.500 1
Cl1 Cl 0.000 0.500 0.000 1

=====

# 4
# Hg2PtAu (PBE-GGA, optimized geometry)
# - energy relative to the elements (eV per atom) = 0.0977
# - energy relative to the lowest polymorph listed for this composition (meV/atom) = 57
# - density of states at the Fermi level (states/eV per atom) = 0.270
data_Hg2PtAu
_chemical_formula_sum 'Hg2 Pt1 Au1'
_cell_length_a 3.022
_cell_length_b 4.251
_cell_length_c 5.938
_cell_angle_alpha 90.00
_cell_angle_beta 90.18
_cell_angle_gamma 90.00
_symmetry_space_group_name_H-M 'P 1 2/m 1'
_symmetry_Int_Tables_number 10
loop_
_symmetry_equiv_pos_as_xyz
'x,y,z'
'-x,-y,-z'
'-x,y,-z'
'x,-y,z'
loop_
_atom_site_label
_atom_site_type_symbol
_atom_site_fract_x
_atom_site_fract_y
_atom_site_fract_z
_atom_site_occupancy
Hg1 Hg 0.003 0.000 0.256 1
Pt1 Pt 0.500 0.500 0.500 1
Au1 Au 0.500 0.500 0.000 1

=====

# 5
# Ac3Si2Pb2 (PBE-GGA, optimized geometry)
# - E_form (uncorrected) (meV/atom) = -504
# - density of states at the Fermi level (states/eV per atom) = 0.582
data_Ac3Si2Pb2
_chemical_formula_sum 'Ac6 Si4 Pb4'
_cell_length_a 12.262
_cell_length_b 4.564
_cell_length_c 9.024
_cell_angle_alpha 90.00
_cell_angle_beta 118.77
_cell_angle_gamma 90.00
_symmetry_space_group_name_H-M 'C 1 2/m 1'
_symmetry_Int_Tables_number 12
loop_
_symmetry_equiv_pos_as_xyz
'x,y,z'
'-x,-y,-z'
'-x,y,-z'
'x,-y,z'
'x+1/2,y+1/2,z'
'-x+1/2,-y+1/2,-z'
'-x+1/2,y+1/2,-z'
'x+1/2,-y+1/2,z'
loop_
_atom_site_label
_atom_site_type_symbol
_atom_site_fract_x
_atom_site_fract_y
_atom_site_fract_z
_atom_site_occupancy
Ac1 Ac 0.000 0.000 0.000 1
Ac2 Ac 0.178 0.000 0.658 1
Si1 Si 0.211 0.500 0.937 1
Pb1 Pb 0.039 0.500 0.316 1

=====

# 6
# MgIn2Tc (PBE-GGA, optimized geometry)
# - energy relative to the elements (eV per atom) = 0.4110
# - density of states at the Fermi level (states/eV per atom) = 1.033
data_MgIn2Tc
_chemical_formula_sum 'Mg4 In8 Tc4'
_cell_length_a 6.757
_cell_length_b 6.757
_cell_length_c 6.757
_cell_angle_alpha 90.00
_cell_angle_beta 90.00
_cell_angle_gamma 90.00
_symmetry_space_group_name_H-M 'F -4 3 m'
_symmetry_Int_Tables_number 216
_symmetry_space_group_name_Hall 'F -4 2 3'
loop_
_atom_site_label
_atom_site_type_symbol
_atom_site_fract_x
_atom_site_fract_y
_atom_site_fract_z
_atom_site_occupancy
Mg1 Mg 0.000 0.000 0.000 1
In1 In 0.000 0.000 0.500 1
In2 In 0.250 0.250 0.750 1
Tc1 Tc 0.250 0.250 0.250 1

=====

# 7
# NaIn2CuHg (PBE-GGA, optimized geometry)
# - energy relative to the elements (eV per atom) = 0.3595
# - energy relative to the lowest polymorph listed for this composition (meV/atom) = 313
# - density of states at the Fermi level (states/eV per atom) = 0.578
data_NaIn2CuHg
_chemical_formula_sum 'Na1 In2 Cu1 Hg1'
_cell_length_a 5.584
_cell_length_b 5.584
_cell_length_c 5.050
_cell_angle_alpha 90.00
_cell_angle_beta 90.00
_cell_angle_gamma 90.00
_symmetry_space_group_name_H-M 'P 4/m m m'
_symmetry_Int_Tables_number 123
_symmetry_space_group_name_Hall '-P 4 2'
loop_
_atom_site_label
_atom_site_type_symbol
_atom_site_fract_x
_atom_site_fract_y
_atom_site_fract_z
_atom_site_occupancy
Na1 Na 0.000 0.000 0.000 1
In1 In 0.000 0.500 0.500 1
Cu1 Cu 0.500 0.500 0.000 1
Hg1 Hg 0.500 0.500 0.500 1

=====

# 8
# Mn2TcTeAu (PBE-GGA, optimized geometry)
# - energy relative to the lowest polymorph listed for this composition (meV/atom) = 0
# - E_form (uncorrected) (meV/atom) = 1168
# - density of states at the Fermi level (states/eV per atom) = 0.978
data_Mn2TcTeAu
_chemical_formula_sum 'Mn2 Tc1 Te1 Au1'
_cell_length_a 4.903
_cell_length_b 4.903
_cell_length_c 4.948
_cell_angle_alpha 90.00
_cell_angle_beta 90.00
_cell_angle_gamma 90.00
_symmetry_space_group_name_H-M 'P 4/m m m'
_symmetry_Int_Tables_number 123
_symmetry_space_group_name_Hall '-P 4 2'
loop_
_atom_site_label
_atom_site_type_symbol
_atom_site_fract_x
_atom_site_fract_y
_atom_site_fract_z
_atom_site_occupancy
Mn1 Mn 0.000 0.500 0.000 1
Tc1 Tc 0.000 0.000 0.500 1
Te1 Te 0.500 0.500 0.500 1
Au1 Au 0.000 0.000 0.000 1

=====

# 9
# LaTe2PtN (PBE-GGA, optimized geometry)
# - energy relative to the lowest polymorph listed for this composition (meV/atom) = 1032
# - E_form (uncorrected) (meV/atom) = 733
# - density of states at the Fermi level (states/eV per atom) = 0.322
data_LaTe2PtN
_chemical_formula_sum 'La1 Te2 Pt1 N1'
_cell_length_a 6.254
_cell_length_b 6.254
_cell_length_c 3.918
_cell_angle_alpha 90.00
_cell_angle_beta 90.00
_cell_angle_gamma 90.00
_symmetry_space_group_name_H-M 'P 4/m m m'
_symmetry_Int_Tables_number 123
_symmetry_space_group_name_Hall '-P 4 2'
loop_
_atom_site_label
_atom_site_type_symbol
_atom_site_fract_x
_atom_site_fract_y
_atom_site_fract_z
_atom_site_occupancy
La1 La 0.000 0.000 0.000 1
Te1 Te 0.000 0.500 0.000 1
Pt1 Pt 0.500 0.500 0.500 1
N1 N 0.000 0.000 0.500 1

=====

# 10
# La2Te (PBE-GGA, optimized geometry)
# - E_form (uncorrected) (meV/atom) = -815
# - density of states at the Fermi level (states/eV per atom) = 1.204
data_La2Te
_chemical_formula_sum 'La2 Te1'
_cell_length_a 5.088
_cell_length_b 5.088
_cell_length_c 4.187
_cell_angle_alpha 90.00
_cell_angle_beta 90.00
_cell_angle_gamma 90.00
_symmetry_space_group_name_H-M 'P 4/m m m'
_symmetry_Int_Tables_number 123
_symmetry_space_group_name_Hall '-P 4 2'
loop_
_atom_site_label
_atom_site_type_symbol
_atom_site_fract_x
_atom_site_fract_y
_atom_site_fract_z
_atom_site_occupancy
La1 La 0.000 0.500 0.000 1
Te1 Te 0.000 0.000 0.500 1

=====

# 11
# PrBiTe2O (PBE-GGA, optimized geometry)
# - E_form (uncorrected) (meV/atom) = -1475
data_PrBiTe2O
_chemical_formula_sum 'Pr2 Bi2 Te4 O2'
_cell_length_a 4.273
_cell_length_b 4.273
_cell_length_c 16.237
_cell_angle_alpha 90.00
_cell_angle_beta 90.00
_cell_angle_gamma 90.00
_symmetry_space_group_name_H-M 'P 4/n m m'
_symmetry_Int_Tables_number 129
loop_
_symmetry_equiv_pos_as_xyz
'x,y,z'
'-x,-y,-z'
'-y+1/2,x,z'
'y+1/2,-x,-z'
'-x+1/2,-y+1/2,z'
'x+1/2,y+1/2,-z'
'y,-x+1/2,z'
'-y,x+1/2,-z'
'x+1/2,-y,-z'
'-x+1/2,y,z'
'-y,-x,-z'
'y,x,z'
'-x,y+1/2,-z'
'x,-y+1/2,z'
'y+1/2,x+1/2,-z'
'-y+1/2,-x+1/2,z'
loop_
_atom_site_label
_atom_site_type_symbol
_atom_site_fract_x
_atom_site_fract_y
_atom_site_fract_z
_atom_site_occupancy
Pr1 Pr 0.250 0.250 0.070 1
Bi1 Bi 0.250 0.250 0.642 1
Te1 Te 0.250 0.250 0.409 1
Te2 Te 0.250 0.250 0.820 1
O1 O 0.250 0.750 0.000 1

=====

| no. | E_tot (eV for the cell shown) |
| --- | --- |
| 1 | -28.6 |
| 2 | -13.3 |
| 3 | -40.5 |
| 4 | -9.5 |
| 5 | -68.2 |
| 6 | -63.2 |
| 7 | -9.4 |
| 8 | -29.3 |
| 9 | -21.9 |
| 10 | -15.4 |
| 11 | -54.6 |